YScMnIr2 | GGA-PBE | optimized geometry

Output
* density of states at the Fermi level: 9.06 states/eV/f.u.
* magnetic moment: 0.22 μB per formula unit
* VASP energy: -29.599 eV/cell

a = 4.9025 Å, b = 4.9025 Å, c = 4.9353 Å
α = 90.00°, β = 90.00°, γ = 90.00°
Space group P4/mmm (No. 123)
One atom of each set of equivalent atoms:
1 Y 0.0000 0.0000 0.0000 x1
2 Sc 0.0000 0.0000 0.5000 x1
3 Mn 0.5000 0.5000 0.5000 x1
4 Ir 0.0000 0.5000 0.0000 x2